DFT (PBE) results for crystalline Nb2SnIrCl at its relaxed geometry.

```
data_Nb2SnIrCl
_chemical_formula_sum 'Nb2 Sn1 Ir1 Cl1'
_symmetry_space_group_name_H-M 'P 1'
_symmetry_Int_Tables_number 1
_cell_length_a 5.010
_cell_length_b 5.010
_cell_length_c 4.624
_cell_angle_alpha 90.00
_cell_angle_beta 90.00
_cell_angle_gamma 90.00
loop_
_symmetry_equiv_pos_as_xyz
'x,y,z'
loop_
_atom_site_label
_atom_site_type_symbol
_atom_site_fract_x
_atom_site_fract_y
_atom_site_fract_z
_atom_site_occupancy
Nb1 Nb 0.000 0.500 0.000 1
Nb2 Nb 0.500 0.000 0.000 1
Sn1 Sn 0.000 0.000 0.500 1
Ir1 Ir 0.500 0.500 0.000 1
Cl1 Cl 0.500 0.500 0.500 1
```

Magnetic moment   0.000 μB/f.u.
Total energy   -30.51 eV/f.u.
Space-group type   P4/mmm (123)